[1]
A plane-wave DFT calculation with PBE-GGA was carried out for a geometry-optimized Hf2AlV2Os5 structure.

ΔE_f in eV/atom: -0.1845
Mass density in g/cm³: 15.104
Size of the total moment in μB/f.u.: 0.000

a b c (Å): 9.9369 9.9369 3.2001
angles (deg): 90.00 90.00 90.00
Space group P4/mbm (No. 127)
Inequivalent atoms, fractional coordinates:
Hf (0.1728, 0.3272, 0.0000) (multiplicity 4)
Al (0.0000, 0.0000, 0.0000) (multiplicity 2)
V (0.1323, 0.6323, 0.0000) (multiplicity 4)
Os (0.0000, 0.5000, 0.5000) (multiplicity 2)
Os (0.0597, 0.8020, 0.5000) (multiplicity 8)

---

[2]
A plane-wave DFT calculation with PBE-GGA was carried out for a geometry-optimized GaCo2SiBr structure.

ΔE_f (raw) in eV per atom: 0.618
Mass density in g/cm³: 4.969
Size of the total moment in μB/f.u.: 3.128

a b c (Å): 4.4315 4.4315 5.0293
angles (deg): 90.00 90.00 90.00
Space group P4/mmm (No. 123)
Inequivalent atoms, fractional coordinates:
Ga (0.0000, 0.0000, 0.0000) (multiplicity 1)
Co (0.0000, 0.5000, 0.5000) (multiplicity 2)
Si (0.0000, 0.0000, 0.5000) (multiplicity 1)
Br (0.5000, 0.5000, 0.0000) (multiplicity 1)

---

[3]
A plane-wave DFT calculation with PBE-GGA was carried out for a geometry-optimized RbRu2Au structure.

ΔE_f in eV/atom: 1.0940
Distance to the lowest polymorph of the same formula in meV per atom: 0.0
Mass density in g/cm³: 8.238
Size of the total moment in μB/f.u.: 0.000

a b c (Å): 4.4065 4.4065 20.1217
angles (deg): 90.00 90.00 90.00
Space group I-42d (No. 122)
Inequivalent atoms, fractional coordinates:
Rb (0.0000, 0.0000, 0.0000) (multiplicity 4)
Ru (0.1032, 0.2500, 0.6250) (multiplicity 8)
Au (0.0000, 0.0000, 0.5000) (multiplicity 4)

---

[4]
A plane-wave DFT calculation with PBE-GGA was carried out for a geometry-optimized Pm2ErScTl2 structure.

ΔE_f in eV/atom: -0.2546
Mass density in g/cm³: 8.841
Size of the total moment in μB/f.u.: 0.000

a b c (Å): 4.9894 9.9603 6.8859
angles (deg): 90.00 90.00 90.00
Space group Pmc2_1 (No. 26)
Inequivalent atoms, fractional coordinates:
Pm (0.0000, 0.0466, 0.0000) (multiplicity 2)
Pm (0.5000, 0.1894, 0.2762) (multiplicity 2)
Er (0.5000, 0.4563, 0.8978) (multiplicity 2)
Sc (0.0000, 0.3119, 0.6096) (multiplicity 2)
Tl (0.0000, 0.3858, 0.1679) (multiplicity 2)
Tl (0.5000, 0.1491, 0.7381) (multiplicity 2)